# ScTlCl3

An optimized crystal structure of ScTlCl3 (PBE, the Alexandria database). Values from VASP.

Geometry as Quantum ESPRESSO input:
```
&SYSTEM
  ibrav = 0, nat = 5, ntyp = 3
/
ATOMIC_SPECIES
Sc 44.96 Sc.upf
Tl 204.38 Tl.upf
Cl 35.45 Cl.upf
CELL_PARAMETERS angstrom
5.575 0.000 0.000
0.000 5.575 0.000
0.000 0.000 5.575
ATOMIC_POSITIONS angstrom
Sc 2.787 2.787 2.787
Tl 0.000 0.000 0.000
Cl 0.000 0.000 2.787
Cl 0.000 2.787 0.000
Cl 2.787 0.000 0.000
```

Results
SG: Pm-3m (221)
E_form (uncorrected): -0.357 eV per atom
Density of states at the Fermi level: 17.2 states/eV/f.u.
Uncorrected energy: -16.02 eV/cell